A relaxed structure of NdDyTm2S6, computed with PBE.

Calculated values
The calculation puts the raw total energy at -6.356 eV/atom. The volume comes out at 25.6 Å³/atom. The spin magnetization is 0.00 μB per formula unit. The formation energy without anion corrections is -20.478 eV per formula unit. Its space-group type is R3, No. 146.

abc: 7.3339 7.3339 7.3339
angles: 56.43 56.43 56.43
Positions (direct):
Nd 0.0000 0.0000 0.0000
Dy 0.4942 0.4942 0.4942
Tm 0.2925 0.2925 0.2925
Tm 0.7957 0.7957 0.7957
S 0.0842 0.6731 0.4171
S 0.1896 0.5821 0.9009
S 0.4171 0.0842 0.6731
S 0.5821 0.9009 0.1896
S 0.6731 0.4171 0.0842
S 0.9009 0.1896 0.5821